# 1
DFT (PBE) results for a relaxed structure of ThGa3Ge3.

Computed properties:
The value obtained for the calculated total energy is -4.098 eV/atom. The calculated formation energy comes out at 1.7 eV per formula unit. Its space-group type is Pm-3n (223).

Lattice parameters (Å, degrees): 6.936 6.936 6.936 90.00 90.00 90.00
Fractional coordinates of all 14 atoms:
Ge1 0.000 0.500 0.750
Ge2 0.750 0.000 0.500
Ge3 0.250 0.000 0.500
Ge4 0.500 0.750 0.000
Ge5 0.000 0.500 0.250
Ge6 0.500 0.250 0.000
Th1 0.500 0.500 0.500
Th2 0.000 0.000 0.000
Ga1 0.250 0.500 0.000
Ga2 0.000 0.250 0.500
Ga3 0.750 0.500 0.000
Ga4 0.500 0.000 0.750
Ga5 0.000 0.750 0.500
Ga6 0.500 0.000 0.250

---

# 2
DFT (PBE) results for a relaxed structure of EuUNi2.

Computed properties:
The value obtained for the calculated total energy is -8.184 eV/atom. The calculated formation energy comes out at 0.4 eV per formula unit. Its space-group type is R-3m (166).

Lattice parameters (Å, degrees): 3.718 3.718 7.502 75.65 75.65 60.00
Site moments in Bohr magnetons follow the coordinates.
Fractional coordinates of all 4 atoms:
Ni1 0.737 0.737 0.790  -0.10
Ni2 0.263 0.263 0.210  -0.10
U1 0.000 0.000 0.000  1.41
Eu1 0.500 0.500 0.500  6.84

---

# 3
DFT (PBE) results for a relaxed structure of LiCu2H4.

Computed properties:
The value obtained for the calculated total energy is -3.332 eV/atom. Its space-group type is Cmcm (63).

Lattice parameters (Å, degrees): 2.782 4.457 8.804 90.00 90.00 108.19
Fractional coordinates of all 14 atoms:
Li1 0.591 0.181 0.750
Li2 0.409 0.819 0.250
Cu1 0.135 0.270 0.437
Cu2 0.135 0.270 0.063
Cu3 0.865 0.730 0.937
Cu4 0.865 0.730 0.563
H1 0.500 0.000 0.500
H2 0.074 0.149 0.250
H3 0.762 0.524 0.388
H4 0.500 0.000 0.000
H5 0.238 0.476 0.888
H6 0.238 0.476 0.612
H7 0.762 0.524 0.112
H8 0.926 0.851 0.750